Entry from Alexandria via LeMat-Bulk: crystalline Rb2InHgI6 at its relaxed geometry (PBEsol).

Cell and atoms, written as POSCAR:
```
Rb2InHgI6
1.0
-4.622 6.835 -1.523
-6.258 2.075 5.190
0.715 6.736 4.951
Hg I In Rb
1 6 1 2
direct
0.500 0.500 0.500
0.753 0.247 0.753
0.247 0.247 0.753
0.753 0.247 0.247
0.247 0.753 0.247
0.247 0.753 0.753
0.753 0.753 0.247
0.000 0.000 0.000
0.750 0.750 0.750
0.250 0.250 0.250
```

The total DFT energy (no corrections) is -24.176 eV for the cell shown. Its uncorrected formation energy is -0.7975 eV/atom. The value obtained for the size of the total moment is 0.0 μB per formula unit. As for the symmetry: Fm-3m.